No. 1
VASP calculation (PBE) on a geometry-optimized TbCe2Zr structure.

Cell and atoms, written as CIF:
```
data_TbCe2Zr
_chemical_formula_sum 'Tb1 Ce2 Zr1'
_symmetry_space_group_name_H-M 'P 4/m m m'
_symmetry_Int_Tables_number 123
_symmetry_space_group_name_Hall '-P 4 2'
_cell_length_a 3.295
_cell_length_b 3.295
_cell_length_c 10.162
_cell_angle_alpha 90.00
_cell_angle_beta 90.00
_cell_angle_gamma 90.00
loop_
_atom_site_label
_atom_site_type_symbol
_atom_site_fract_x
_atom_site_fract_y
_atom_site_fract_z
Tb1 Tb 0.000 0.000 0.000
Ce1 Ce 0.500 0.500 0.263
Zr1 Zr 0.000 0.000 0.500
```

Computed properties:
Crystal system: tetragonal
Formation energy from the elements (eV per atom): 0.118

No. 2
VASP calculation (PBE) on a geometry-optimized TbCe2Zr structure.

Cell and atoms, written as CIF:
```
data_TbCe2Zr
_chemical_formula_sum 'Tb1 Ce2 Zr1'
_symmetry_space_group_name_H-M 'P 4/m m m'
_symmetry_Int_Tables_number 123
_symmetry_space_group_name_Hall '-P 4 2'
_cell_length_a 4.687
_cell_length_b 4.687
_cell_length_c 5.013
_cell_angle_alpha 90.00
_cell_angle_beta 90.00
_cell_angle_gamma 90.00
loop_
_atom_site_label
_atom_site_type_symbol
_atom_site_fract_x
_atom_site_fract_y
_atom_site_fract_z
Tb1 Tb 0.000 0.000 0.000
Ce1 Ce 0.000 0.500 0.500
Zr1 Zr 0.500 0.500 0.000
```

Computed properties:
Crystal system: tetragonal
Formation energy from the elements (eV per atom): 0.141

No. 3
VASP calculation (PBE) on a geometry-optimized Tb14CeZr structure.

Cell and atoms, written as CIF:
```
data_Tb14CeZr
_chemical_formula_sum 'Tb14 Ce1 Zr1'
_symmetry_space_group_name_H-M 'P 4/m m m'
_symmetry_Int_Tables_number 123
_symmetry_space_group_name_Hall '-P 4 2'
_cell_length_a 7.064
_cell_length_b 7.064
_cell_length_c 9.981
_cell_angle_alpha 90.00
_cell_angle_beta 90.00
_cell_angle_gamma 90.00
loop_
_atom_site_label
_atom_site_type_symbol
_atom_site_fract_x
_atom_site_fract_y
_atom_site_fract_z
Tb1 Tb 0.000 0.000 0.000
Tb2 Tb 0.000 0.500 0.000
Tb3 Tb 0.000 0.500 0.500
Tb4 Tb 0.246 0.246 0.256
Tb5 Tb 0.500 0.500 0.000
Ce1 Ce 0.500 0.500 0.500
Zr1 Zr 0.000 0.000 0.500
```

Computed properties:
Crystal system: tetragonal
Formation energy from the elements (eV per atom): 0.049

How do the records compare in size of the total moment? In the order shown, they have 0.01 0.25 0.81 μB per cell.